(1)
Below is a relaxed PrNd2Cu4Si4 crystal, with properties calculated at the PBE level.

Its total energy is -5.235 eV/atom. As for the space group: Immm.

```
PrNd2Cu4Si4
1.0
-9.972 1.718 6.890
-10.050 6.243 3.145
8.429 -5.587 -6.900
Cu Nd Pr Si
4 2 1 4
direct
0.250 0.250 0.000
0.750 0.750 0.000
0.597 0.097 0.500
0.403 0.903 0.500
0.849 0.349 0.500
0.151 0.651 0.500
0.000 0.000 0.000
0.449 0.449 0.000
0.551 0.551 0.000
0.696 0.196 0.500
0.304 0.804 0.500
```

(2)
Below is a relaxed In2W crystal, with properties calculated at the PBE level.

Its total energy is -4.107 eV/atom. As for the space group: Fd-3m.

```
In2W
1.0
-4.073 -7.182 2.523
1.356 -3.179 7.911
-6.235 0.439 5.956
In W
4 2
direct
0.875 0.375 0.375
0.375 0.875 0.375
0.375 0.375 0.375
0.375 0.375 0.875
0.250 0.250 0.250
0.500 0.500 0.500
```

(3)
Below is a relaxed DyHo2Cd3Au3 crystal, with properties calculated at the PBE level.

For the formation energy, the calculation gives -5.981 eV per formula unit. Its total energy is -3.580 eV/atom. As for the space group: Amm2.

```
DyHo2Cd3Au3
1.0
3.897 0.000 0.000
0.000 6.744 3.889
0.000 -6.744 3.889
Au Cd Dy Ho
3 3 1 2
direct
0.000 0.000 0.000
0.500 0.667 0.333
0.500 0.333 0.667
0.500 0.737 0.000
0.500 0.263 0.263
0.500 0.000 0.737
0.000 0.597 0.597
0.000 0.403 0.000
0.000 0.000 0.403
```

(4)
Below is a relaxed Ho2Lu2C7 crystal, with properties calculated at the PBE level.

Its total energy is -7.774 eV/atom. As for the space group: P-1.

```
Ho2Lu2C7
1.0
-3.077 1.660 -0.178
-1.402 -2.324 2.330
1.717 5.980 9.537
C Ho Lu
7 2 2
direct
0.000 0.000 0.000
0.084 0.871 0.113
0.526 0.288 0.336
0.497 0.162 0.459
0.503 0.838 0.541
0.474 0.712 0.664
0.916 0.129 0.887
0.021 0.780 0.356
0.979 0.220 0.644
0.576 0.369 0.144
0.424 0.631 0.856
```